Record 1
A plane-wave DFT calculation with PBE was carried out for NaZn5Au7 after structural relaxation.

Calculated density, g/cm3: 12.56
Energy of formation from the pure elements, meV/atom: -219
Magnetization, μB per formula unit: 0.00

Cell lengths 7.0414, 7.0414, 7.0414 Å; angles 134.87, 97.95, 98.99 degrees
With the nearest neighbours (Å) after each atom.
Sites, in units of the cell vectors:
Na  0.0000  0.0000  0.0000  10 Au 3.04-3.34
Zn  0.4855  0.4879  0.5001  7 Au 2.65-2.85, 3 Zn 2.69-2.72
Zn  0.4855  0.9855  0.9976  7 Au 2.65-2.85, 3 Zn 2.69-2.72
Zn  0.7622  0.2622  0.5000  4 Zn 2.70, 6 Au 2.72-2.85
Zn  0.9878  0.4879  0.0024  7 Au 2.65-2.85, 3 Zn 2.69-2.72
Zn  0.9878  0.9855  0.4999  7 Au 2.65-2.85, 3 Zn 2.69-2.72
Au  0.1806  0.4801  0.7004  5 Zn 2.65-2.74, 1 Au 2.84
Au  0.2155  0.7155  0.5000  4 Zn 2.67, 6 Au 2.84-2.97
Au  0.3354  0.9962  0.3392  5 Zn 2.72-2.85, 4 Au 2.97-2.99
Au  0.3404  0.3404  0.0000  4 Zn 2.83, 5 Au 2.93-3.05, 1 Na 3.11
Au  0.6570  0.9962  0.6608  5 Zn 2.72-2.85, 4 Au 2.97-2.99
Au  0.6676  0.6676  0.0000  6 Zn 2.76-2.84, 1 Au 2.99, 1 Na 3.04
Au  0.7797  0.4801  0.2996  5 Zn 2.65-2.74, 1 Au 2.84

Record 2
A plane-wave DFT calculation with PBE was carried out for RbNa2Cd2 after structural relaxation.

Offset from the most stable computed form, meV per atom: 0
Calculated density, g/cm3: 3.17
Energy of formation from the pure elements, meV/atom: -36
Magnetization, μB per formula unit: 0.00

Cell lengths 10.3412, 10.3412, 7.9121 Å; angles 109.78, 109.78, 28.13 degrees
With the nearest neighbours (Å) after each atom.
Sites, in units of the cell vectors:
Rb  0.0195  0.9805  0.7500  2 Cd 3.85, 2 Rb 3.96, 2 Na 4.21
Rb  0.9805  0.0195  0.2500  2 Cd 3.85, 2 Rb 3.96, 2 Na 4.21
Na  0.3413  0.3436  0.3340  6 Cd 3.26-3.34
Na  0.3436  0.3413  0.8340  6 Cd 3.26-3.34
Na  0.6564  0.6587  0.1660  6 Cd 3.26-3.34
Na  0.6587  0.6564  0.6660  6 Cd 3.26-3.34
Cd  0.2044  0.2039  0.4605  2 Cd 3.05, 6 Na 3.26-3.34
Cd  0.2039  0.2044  0.9605  2 Cd 3.05, 6 Na 3.26-3.34
Cd  0.7961  0.7956  0.0395  2 Cd 3.05, 6 Na 3.26-3.34
Cd  0.7956  0.7961  0.5395  2 Cd 3.05, 6 Na 3.26-3.34

Record 3
A plane-wave DFT calculation with PBE was carried out for Na2LiNp2S6 after structural relaxation.

Uncorrected formation energy, eV/atom: -1.2563
Calculated density, g/cm3: 4.49
Magnetization, μB per formula unit: 5.00

Cell lengths 6.8369, 6.8369, 6.9723 Å; angles 98.65, 98.65, 120.99 degrees
With the nearest neighbours (Å) after each atom.
Sites, in units of the cell vectors:
Na  0.1597  0.8403  0.0000  6 S 2.92-2.95
Na  0.8403  0.1597  0.0000  6 S 2.92-2.95
Li  0.0000  0.0000  0.5000  6 S 2.68-2.81
Np  0.3355  0.6645  0.5000  6 S 2.64-2.65
Np  0.6645  0.3355  0.5000  6 S 2.64-2.65
S  0.0635  0.4193  0.7167  2 Np 2.64, 1 Li 2.81, 2 Na 2.92-2.93
S  0.2707  0.2707  0.2877  2 Np 2.65, 1 Li 2.68, 2 Na 2.95
S  0.4193  0.0635  0.7167  2 Np 2.64, 1 Li 2.81, 2 Na 2.92-2.93
S  0.5807  0.9365  0.2833  2 Np 2.64, 1 Li 2.81, 2 Na 2.92-2.93
S  0.7293  0.7293  0.7123  2 Np 2.65, 1 Li 2.68, 2 Na 2.95
S  0.9365  0.5807  0.2833  2 Np 2.64, 1 Li 2.81, 2 Na 2.92-2.93

Record 4
A plane-wave DFT calculation with PBE was carried out for AcNd6Mg after structural relaxation.

Calculated density, g/cm3: 6.66
Energy of formation from the pure elements, meV/atom: 24
Magnetization, μB per formula unit: 0.00

Cell lengths 6.3599, 6.3599, 10.2489 Å; angles 113.58, 113.58, 48.34 degrees
With the nearest neighbours (Å) after each atom.
Sites, in units of the cell vectors:
Ac  0.0000  0.0000  0.0000  12 Nd 3.68-3.72
Nd  0.2422  0.2422  0.3812  8 Nd 3.52-3.67, 3 Mg 3.52-3.74, 1 Ac 3.68
Nd  0.2475  0.2475  0.8641  1 Mg 3.57, 8 Nd 3.62-3.80, 3 Ac 3.70-3.71
Nd  0.4942  0.4942  0.2557  2 Mg 3.59, 8 Nd 3.62-3.77, 2 Ac 3.72
Nd  0.5058  0.5058  0.7443  2 Mg 3.59, 8 Nd 3.62-3.77, 2 Ac 3.72
Nd  0.7525  0.7525  0.1359  1 Mg 3.57, 8 Nd 3.62-3.80, 3 Ac 3.70-3.71
Nd  0.7578  0.7578  0.6188  8 Nd 3.52-3.67, 3 Mg 3.52-3.74, 1 Ac 3.68
Mg  0.0000  0.0000  0.5000  12 Nd 3.52-3.74

Record 5
A plane-wave DFT calculation with PBE was carried out for TlInSN2 after structural relaxation.

Uncorrected formation energy, eV/atom: 1.5743
Offset from the most stable computed form, meV per atom: 385
Calculated density, g/cm3: 5.74
Magnetization, μB per formula unit: 3.50

Cell lengths 4.4215, 4.4215, 5.6174 Å; angles 90.00, 90.00, 90.00 degrees
With the nearest neighbours (Å) after each atom.
Sites, in units of the cell vectors:
Tl  0.0000  0.0000  0.0000  4 N 2.21
In  0.5000  0.5000  0.5000  4 S 3.13
S  0.0000  0.0000  0.5000  2 Tl 2.81, 4 In 3.13
N  0.0000  0.5000  0.0000  2 Tl 2.21
N  0.5000  0.0000  0.0000  2 Tl 2.21

Record 6
A plane-wave DFT calculation with PBE was carried out for Na2PuTlO4 after structural relaxation.

Uncorrected formation energy, eV/atom: -1.9324
Calculated density, g/cm3: 7.17
Magnetization, μB per formula unit: 3.00

Cell lengths 6.1538, 3.4528, 6.8165 Å; angles 90.00, 116.81, 90.00 degrees
With the nearest neighbours (Å) after each atom.
Sites, in units of the cell vectors:
Na  0.0000  0.0000  0.0000  4 O 2.56
Na  0.0000  0.5000  0.5000  4 O 2.36
Pu  0.5000  0.0000  0.5000  2 O 1.98
Tl  0.5000  0.5000  0.0000  6 O 2.75-2.85
O  0.2719  0.5000  0.2821  2 Pu 2.30, 2 Na 2.56
O  0.2905  0.0000  0.6505  1 Pu 1.98
O  0.7095  0.0000  0.3495  1 Pu 1.98
O  0.7281  0.5000  0.7179  2 Pu 2.30, 2 Na 2.56

Record 7
A plane-wave DFT calculation with PBE was carried out for Ce2Ge2Pt3 after structural relaxation.

Calculated density, g/cm3: 12.19
Energy of formation from the pure elements, meV/atom: -947
Magnetization, μB per formula unit: 0.80

Cell lengths 5.6270, 5.6270, 6.9924 Å; angles 111.71, 111.71, 42.68 degrees
With the nearest neighbours (Å) after each atom.
Sites, in units of the cell vectors:
Ce  0.1338  0.1338  0.2629  4 Ge 3.00-3.11, 6 Pt 3.02-3.28
Ce  0.8662  0.8662  0.7371  4 Ge 3.00-3.11, 6 Pt 3.02-3.28
Ge  0.1530  0.1530  0.7187  5 Pt 2.66-2.67
Ge  0.8470  0.8470  0.2813  5 Pt 2.66-2.67
Pt  0.3847  0.3847  0.0644  3 Ge 2.66-2.67, 2 Pt 2.80-2.90
Pt  0.5000  0.5000  0.5000  4 Ge 2.67, 2 Pt 2.80
Pt  0.6153  0.6153  0.9356  3 Ge 2.66-2.67, 2 Pt 2.80-2.90

Record 8
A plane-wave DFT calculation with PBE was carried out for SrMg6Tl6 after structural relaxation.

Calculated density, g/cm3: 7.12
Energy of formation from the pure elements, meV/atom: -121
Magnetization, μB per formula unit: 0.00

Cell lengths 8.0186, 8.0186, 8.0186 Å; angles 133.97, 102.79, 94.84 degrees
With the nearest neighbours (Å) after each atom.
Sites, in units of the cell vectors:
Sr  0.0000  0.0000  0.0000  8 Tl 3.44-3.71
Mg  0.0000  0.0000  0.5000  6 Tl 3.06-3.27, 4 Mg 3.13-3.14
Mg  0.0000  0.5000  0.0000  6 Tl 3.06-3.27, 4 Mg 3.13-3.14
Mg  0.2421  0.5000  0.7421  6 Tl 3.07-3.30, 4 Mg 3.13
Mg  0.5000  0.0000  0.0000  6 Tl 3.06-3.27, 4 Mg 3.13-3.14
Mg  0.5000  0.5000  0.5000  6 Tl 3.06-3.27, 4 Mg 3.13-3.14
Mg  0.7579  0.5000  0.2579  6 Tl 3.07-3.30, 4 Mg 3.13
Tl  0.1741  0.6741  0.5000  6 Mg 3.06-3.07
Tl  0.3415  0.3415  0.0000  6 Mg 3.10-3.11, 1 Tl 3.44
Tl  0.3435  0.0000  0.3435  1 Tl 3.13, 6 Mg 3.27-3.30, 1 Sr 3.44
Tl  0.6565  0.0000  0.6565  1 Tl 3.13, 6 Mg 3.27-3.30, 1 Sr 3.44
Tl  0.6585  0.6585  0.0000  6 Mg 3.10-3.11, 1 Tl 3.44
Tl  0.8259  0.3259  0.5000  6 Mg 3.06-3.07

Record 9
A plane-wave DFT calculation with PBE was carried out for Y2ScAg2 after structural relaxation.

Offset from the most stable computed form, meV per atom: 274
Calculated density, g/cm3: 5.48
Energy of formation from the pure elements, meV/atom: 79
Magnetization, μB per formula unit: 0.00

Cell lengths 9.3013, 9.3013, 9.3013 Å; angles 156.00, 156.00, 34.20 degrees
With the nearest neighbours (Å) after each atom.
Sites, in units of the cell vectors:
Y  0.1096  0.1096  0.0000  4 Ag 3.16, 4 Sc 3.36
Y  0.8904  0.8904  0.0000  4 Ag 3.16, 4 Sc 3.36
Sc  0.5000  0.5000  0.0000  8 Y 3.36
Ag  0.2500  0.7500  0.5000  4 Ag 2.73
Ag  0.7500  0.2500  0.5000  4 Ag 2.73

Record 10
A plane-wave DFT calculation with PBE was carried out for Te2PCl after structural relaxation.

Uncorrected formation energy, eV/atom: 0.1286
Offset from the most stable computed form, meV per atom: 224
Calculated density, g/cm3: 4.64
Magnetization, μB per formula unit: 0.00

Cell lengths 6.6990, 6.6990, 6.6990 Å; angles 111.85, 111.85, 104.81 degrees
With the nearest neighbours (Å) after each atom.
Sites, in units of the cell vectors:
Te  0.0672  0.6250  0.9422  2 P 2.58
Te  0.3750  0.3172  0.4422  2 P 2.58
Te  0.6828  0.1250  0.0578  2 P 2.58
Te  0.8750  0.9328  0.5578  2 P 2.58
P  0.0000  0.0000  0.0000  4 Te 2.58
P  0.7500  0.2500  0.5000  4 Te 2.58
Cl  0.2500  0.7500  0.5000  4 Te 3.15
Cl  0.5000  0.5000  0.0000  4 Te 3.15

Record 11
A plane-wave DFT calculation with PBE was carried out for Er3P2Se2 after structural relaxation.

Uncorrected formation energy, eV/atom: -1.4126
Calculated density, g/cm3: 6.49
Magnetization, μB per formula unit: 0.00

Cell lengths 7.5120, 7.5120, 7.0408 Å; angles 113.42, 113.42, 30.67 degrees
With the nearest neighbours (Å) after each atom.
Sites, in units of the cell vectors:
Er  0.0000  0.0000  0.0000  4 P 2.80, 2 Se 2.87
Er  0.2724  0.2724  0.2693  3 P 2.78-2.84, 3 Se 2.81-2.91
Er  0.7276  0.7276  0.7307  3 P 2.78-2.84, 3 Se 2.81-2.91
P  0.3611  0.3611  0.9867  5 Er 2.78-2.84
P  0.6389  0.6389  0.0133  5 Er 2.78-2.84
Se  0.1210  0.1210  0.4421  4 Er 2.81-2.91
Se  0.8790  0.8790  0.5579  4 Er 2.81-2.91

Record 12
A plane-wave DFT calculation with PBE was carried out for BaSrPH2 after structural relaxation.

Total DFT energy (no corrections), eV per formula unit: -18.403
Calculated density, g/cm3: 3.68
Magnetization, μB per formula unit: 0.56

Cell lengths 7.0735, 7.0735, 7.8278 Å; angles 90.00, 90.00, 143.49 degrees
With the nearest neighbours (Å) after each atom.
Sites, in units of the cell vectors:
Ba  0.2336  0.7664  0.7500  6 H 2.74-2.75
Ba  0.7664  0.2336  0.2500  6 H 2.74-2.75
Sr  0.5000  0.5000  0.0000  2 H 2.44
Sr  0.5000  0.5000  0.5000  2 H 2.44
P  0.0555  0.9445  0.2500  4 Sr 3.05
P  0.9445  0.0555  0.7500  4 Sr 3.05
H  0.3222  0.6778  0.0646  1 Sr 2.44
H  0.3222  0.6778  0.4354  1 Sr 2.44
H  0.6778  0.3222  0.5646  1 Sr 2.44
H  0.6778  0.3222  0.9354  1 Sr 2.44